The following is a PBE with a Hubbard U calculation of a geometry-optimized Na3CrPd3O8 structure, from Alexandria.

Cell: 5.979 6.782 6.324 Å, 119.03 90.00 116.15°
Fractional coordinates of all 15 atoms:
Na  0.000  0.000  0.000
Na  0.000  0.500  0.000
Na  0.500  0.500  0.000
Cr  0.000  0.000  0.500
Pd  0.500  0.000  0.500
Pd  0.500  0.500  0.500
Pd  0.000  0.500  0.500
O  0.300  0.599  0.346
O  0.700  0.401  0.654
O  0.806  0.612  0.357
O  0.194  0.388  0.643
O  0.739  0.950  0.272
O  0.261  0.050  0.728
O  0.211  0.950  0.272
O  0.789  0.050  0.728

Properties
Energy, eV/cell: -81.63
Volume, Å³/cell: 194
Crystal system: monoclinic
Symmetry: C2/m, No. 12